# 1
A relaxed BeTe2W crystal, computed with PBE. Values from VASP.

Cell and atoms, written as Quantum ESPRESSO input:
```
&SYSTEM
  ibrav = 0, nat = 4, ntyp = 3
/
ATOMIC_SPECIES
Be 9.01 Be.upf
Te 127.60 Te.upf
W 183.84 W.upf
CELL_PARAMETERS angstrom
3.414 0.000 0.000
0.000 3.376 0.000
-1.203 0.000 6.611
ATOMIC_POSITIONS crystal
Be 0.000 0.000 0.000
Te 0.396 0.500 0.250
Te 0.604 0.500 0.750
W 0.000 0.000 0.500
```

Summary:
Uncorrected formation energy (eV/atom): 0.660
Space group: No. 10
Total moment (μB/atom): 0.00
N(E_F) (states/eV per cell): 2.3

=====

# 2
A relaxed Be2TeW crystal, computed with PBE. Values from VASP.

Cell and atoms, written as Quantum ESPRESSO input:
```
&SYSTEM
  ibrav = 0, nat = 4, ntyp = 3
/
ATOMIC_SPECIES
Be 9.01 Be.upf
Te 127.60 Te.upf
W 183.84 W.upf
CELL_PARAMETERS angstrom
1.796 1.037 6.982
-1.796 1.037 6.982
0.000 -2.074 6.982
ATOMIC_POSITIONS crystal
Be 0.000 0.000 0.000
Be 0.335 0.335 0.335
Te 0.481 0.481 0.481
W 0.726 0.726 0.726
```

Summary:
Uncorrected formation energy (eV/atom): 0.304
Space group: No. 160
Total moment (μB/atom): 0.00

=====

# 3
A relaxed BeTeW crystal, computed with PBE. Values from VASP.

Cell and atoms, written as Quantum ESPRESSO input:
```
&SYSTEM
  ibrav = 0, nat = 3, ntyp = 3
/
ATOMIC_SPECIES
Be 9.01 Be.upf
Te 127.60 Te.upf
W 183.84 W.upf
CELL_PARAMETERS angstrom
-1.670 1.670 4.169
1.670 -1.670 4.169
1.670 1.670 -4.169
ATOMIC_POSITIONS crystal
Be 0.000 0.000 0.000
Te 0.318 0.318 0.000
W 0.645 0.645 0.000
```

Summary:
Offset from the most stable computed form (eV/atom): 0.000
Uncorrected formation energy (eV/atom): 0.374
Space group: No. 107
Total moment (μB/atom): 0.00
N(E_F) (states/eV per cell): 0.8

=====

# 4
A relaxed BeTeW crystal, computed with PBE. Values from VASP.

Cell and atoms, written as Quantum ESPRESSO input:
```
&SYSTEM
  ibrav = 0, nat = 3, ntyp = 3
/
ATOMIC_SPECIES
Be 9.01 Be.upf
Te 127.60 Te.upf
W 183.84 W.upf
CELL_PARAMETERS angstrom
4.685 0.000 0.000
-2.343 4.057 0.000
0.000 0.000 2.777
ATOMIC_POSITIONS crystal
Be 0.000 0.000 0.000
Te 0.667 0.333 0.448
W 0.333 0.667 0.477
```

Summary:
Offset from the most stable computed form (eV/atom): 0.625
Uncorrected formation energy (eV/atom): 0.999
Space group: No. 156
Total moment (μB/atom): 0.00
N(E_F) (states/eV per cell): 2.7

=====

# 5
A relaxed BeTe2W crystal, computed with PBE. Values from VASP.

Cell and atoms, written as Quantum ESPRESSO input:
```
&SYSTEM
  ibrav = 0, nat = 4, ntyp = 3
/
ATOMIC_SPECIES
Be 9.01 Be.upf
Te 127.60 Te.upf
W 183.84 W.upf
CELL_PARAMETERS angstrom
1.771 1.022 8.779
-1.771 1.022 8.779
0.000 -2.045 8.779
ATOMIC_POSITIONS crystal
Be 0.000 0.000 0.000
Te 0.541 0.541 0.541
Te 0.713 0.713 0.713
W 0.276 0.276 0.276
```

Summary:
Uncorrected formation energy (eV/atom): 0.357
Space group: No. 160
Total moment (μB/atom): 0.00
N(E_F) (states/eV per cell): 1.0

=====

# 6
A relaxed Be2TeW crystal, computed with PBE. Values from VASP.

Cell and atoms, written as Quantum ESPRESSO input:
```
&SYSTEM
  ibrav = 0, nat = 4, ntyp = 3
/
ATOMIC_SPECIES
Be 9.01 Be.upf
Te 127.60 Te.upf
W 183.84 W.upf
CELL_PARAMETERS angstrom
1.785 -2.179 0.000
1.785 2.179 0.000
0.000 0.000 9.106
ATOMIC_POSITIONS crystal
Be 0.000 0.000 0.178
Be 0.000 0.000 0.822
Te 0.500 0.500 0.500
W 0.500 0.500 0.000
```

Summary:
Uncorrected formation energy (eV/atom): 0.628
Space group: No. 65
Total moment (μB/atom): 0.00
N(E_F) (states/eV per cell): 1.1